1.
The following is a PBE-GGA calculation of a geometry-optimized PuBiRhSe structure, from Alexandria.

Computed properties:
formation energy (no corrections) = -14.99 kcal/mol of atoms

Cell: 4.7382 4.7382 8.4492 Å, 90.00 90.00 90.00°
Last column: magnetic moment on the atom in μB.
Atoms (fractional coordinates):
Pu: 0.5000 0.0000 0.6945  5.17
Pu: 0.0000 0.5000 0.3055  5.17
Bi: 0.0000 0.5000 0.8380  0.01
Bi: 0.5000 0.0000 0.1620  0.01
Rh: 0.5000 0.5000 0.0000  0.23
Rh: 0.0000 0.0000 0.0000  0.23
Se: 0.0000 0.0000 0.5000  -0.15
Se: 0.5000 0.5000 0.5000  -0.15

2.
The following is a PBE-GGA calculation of a geometry-optimized GaFe3C structure, from Alexandria.

Computed properties:
ΔE_f = 2 kJ per mole of atoms

Cell: 3.9157 4.8357 6.9231 Å, 112.64 90.00 113.88°
Last column: magnetic moment on the atom in μB.
Atoms (fractional coordinates):
Ga: 0.3832 0.7665 0.5741  -0.08
Ga: 0.6168 0.2335 0.4259  -0.08
Fe: 0.1163 0.2325 0.1995  1.56
Fe: 0.8837 0.7675 0.8005  1.56
Fe: 0.6419 0.2837 0.9417  1.71
Fe: 0.3581 0.7163 0.0583  1.71
Fe: 0.8705 0.7410 0.3401  1.87
Fe: 0.1295 0.2590 0.6599  1.87
C: 0.1207 0.2415 0.9267  -0.11
C: 0.8793 0.7585 0.0733  -0.11

3.
The following is a PBE-GGA calculation of a geometry-optimized AcTb2PrBi4 structure, from Alexandria.

Computed properties:
ΔE_f = -88 kJ per mole of atoms

Cell: 4.6344 8.0095 8.0252 Å, 70.52 90.00 90.00°
Atoms (fractional coordinates):
Ac: 0.5000 0.5000 0.0000
Tb: 0.0000 0.0000 0.0000
Tb: 0.5000 0.0000 0.5000
Pr: 0.0000 0.5000 0.5000
Bi: 0.0000 0.7680 0.7384
Bi: 0.0000 0.2320 0.2616
Bi: 0.5000 0.7637 0.2508
Bi: 0.5000 0.2363 0.7492

4.
The following is a PBE-GGA calculation of a geometry-optimized CoCu2H structure, from Alexandria.

Computed properties:
polymorph energy (0 for the lowest one) = 0.7626 eV per atom

Cell: 3.8999 3.8999 3.8999 Å, 60.00 60.00 60.00°
Last column: magnetic moment on the atom in μB.
Atoms (fractional coordinates):
H: 0.0000 0.0000 0.0000  0.01
Co: 0.5000 0.5000 0.5000  1.22
Cu: 0.2500 0.2500 0.2500  0.02
Cu: 0.7500 0.7500 0.7500  0.02

5.
The following is a PBE-GGA calculation of a geometry-optimized Na2PuSnSe4 structure, from Alexandria.

Computed properties:
formation energy (no corrections) = -24.19 kcal/mol of atoms

Cell: 4.1986 7.3097 7.3921 Å, 70.80 90.00 90.00°
Last column: magnetic moment on the atom in μB.
Atoms (fractional coordinates):
Na: 0.0000 0.0000 0.0000  0.00
Na: 0.5000 0.0000 0.5000  0.00
Pu: 0.0000 0.5000 0.5000  4.87
Sn: 0.5000 0.5000 0.0000  -0.04
Se: 0.0000 0.7304 0.7451  -0.10
Se: 0.0000 0.2696 0.2549  -0.10
Se: 0.5000 0.7278 0.2628  -0.11
Se: 0.5000 0.2722 0.7372  -0.11

no.,calculated total energy (eV/atom)
1,-7.91
2,-7.50
3,-5.12
4,-3.87
5,-5.41